Sr3MgRe: relaxed, PBE-GGA.

Cell lengths 5.8854, 5.8854, 5.8854 Å; angles 90.00, 90.00, 90.00 degrees
Fractional positions:
Re 0.0000 0.0000 0.0000
Mg 0.5000 0.5000 0.5000
Sr 0.0000 0.5000 0.0000
Sr 0.0000 0.0000 0.5000
Sr 0.5000 0.0000 0.0000

- SG: Pm-3m, No. 221
- E above lowest polymorph: 0.000 eV/atom
- Formation enthalpy at 0 K: 729 meV/atom

SrMgRe3: relaxed, PBE-GGA.

Cell lengths 4.8503, 4.8503, 4.8503 Å; angles 90.00, 90.00, 90.00 degrees
Fractional positions:
Re 0.0000 0.5000 0.0000
Re 0.0000 0.0000 0.5000
Re 0.5000 0.0000 0.0000
Mg 0.5000 0.5000 0.5000
Sr 0.0000 0.0000 0.0000

- SG: Pm-3m, No. 221
- E above lowest polymorph: 1.136 eV/atom
- Formation enthalpy at 0 K: 3413 meV/atom

Sr2MgRe: relaxed, PBE-GGA.

Cell lengths 4.6357, 4.6357, 11.3654 Å; angles 78.23, 78.23, 90.00 degrees
Fractional positions:
Re 0.0000 0.0000 0.0000
Re 0.7500 0.2500 0.5000
Mg 0.5000 0.5000 0.0000
Mg 0.2500 0.7500 0.5000
Sr 0.6424 0.1250 0.2500
Sr 0.1076 0.6250 0.2500
Sr 0.3750 0.3576 0.7500
Sr 0.8750 0.8924 0.7500

- SG: I-42d, No. 122
- E above lowest polymorph: 0.634 eV/atom
- Formation enthalpy at 0 K: 1289 meV/atom

Sr2MgRe: relaxed, PBE-GGA.

Cell lengths 11.3744, 11.3744, 11.3744 Å; angles 17.52, 17.52, 17.52 degrees
Fractional positions:
Mg 0.2500 0.2500 0.2500
Re 0.7500 0.7500 0.7500
Sr 0.0134 0.0134 0.0134
Sr 0.4866 0.4866 0.4866

- SG: R-3m, No. 166
- E above lowest polymorph: 0.274 eV/atom
- Formation enthalpy at 0 K: 929 meV/atom

Sr2MgRe: relaxed, PBE-GGA.

Cell lengths 4.7238, 4.7238, 8.7701 Å; angles 86.02, 86.02, 37.98 degrees
Fractional positions:
Mg 0.2500 0.2500 0.2500
Re 0.7500 0.7500 0.7500
Sr 0.0085 0.0085 0.9587
Sr 0.4915 0.4915 0.5413

- SG: C2/m, No. 12
- E above lowest polymorph: 0.317 eV/atom
- Formation enthalpy at 0 K: 972 meV/atom

Sr2Mg2Re: relaxed, PBE-GGA.

Cell lengths 3.8533, 3.8533, 10.8385 Å; angles 79.76, 79.76, 90.00 degrees
Fractional positions:
Re 0.0000 0.0000 0.0000
Mg 0.7500 0.2500 0.5000
Mg 0.2500 0.7500 0.5000
Sr 0.4112 0.4112 0.1776
Sr 0.5888 0.5888 0.8224

- SG: I4/mmm, No. 139
- E above lowest polymorph: 0.000 eV/atom
- Formation enthalpy at 0 K: 833 meV/atom

Sr2MgRe: relaxed, PBE-GGA.

Cell lengths 5.0939, 5.0934, 4.4168 Å; angles 90.00, 90.00, 90.00 degrees
Fractional positions:
Mg 0.5000 0.0000 0.5000
Re 0.0000 0.5000 0.5000
Sr 0.0000 0.0000 0.0000
Sr 0.5000 0.5000 0.0000

- SG: P4/mmm, No. 123
- E above lowest polymorph: 0.246 eV/atom
- Formation enthalpy at 0 K: 901 meV/atom

Sr2MgRe: relaxed, PBE-GGA.

Cell lengths 3.6754, 3.6754, 8.9369 Å; angles 90.00, 90.00, 90.00 degrees
Fractional positions:
Mg 0.0000 0.0000 0.5755
Re 0.5000 0.5000 0.6849
Sr 0.0000 0.0000 0.9185
Sr 0.5000 0.5000 0.3210

- SG: P4mm, No. 99
- E above lowest polymorph: 0.000 eV/atom
- Formation enthalpy at 0 K: 655 meV/atom